Computed, not measured: a relaxed structure of YGaSbTe2 at the PBE level of DFT.

It has space group P4/mmm (No. 123), with a = 5.870 Å, b = 5.870 Å, c = 5.834 Å, α = 90.00°, β = 90.00° and γ = 90.00°. The inequivalent atoms are Y at (0.000, 0.000, 0.000), Ga at (0.500, 0.500, 0.500), Sb at (0.000, 0.000, 0.500) and Te at (0.000, 0.500, 0.000).

The calculation puts the density of states at the Fermi level at 5.9 states/eV per cell. The value obtained for the total DFT energy (no corrections) is -4.03 eV per atom. Its total magnetization is 0.00 Bohr magnetons per cell.


Computed, not measured: a relaxed structure of Y8GaSb3Te4 at the PBE level of DFT.

It has space group R-3m (No. 166, hexagonal axes), with a = 8.7252 Å, b = 8.7252 Å, c = 21.4445 Å, α = 90.00°, β = 90.00° and γ = 120.00°. The inequivalent atoms are Y at (0.0000, 0.0000, 0.2462), Y at (0.0137, 0.5069, 0.2438), Ga at (0.0000, 0.0000, 0.5000), Sb at (0.0000, 0.5000, 0.5000), Te at (0.0000, 0.0000, 0.0000) and Te at (0.0000, 0.5000, 0.0000).

The calculation puts the density of states at the Fermi level at 7.4 states/eV per cell. The value obtained for the total DFT energy (no corrections) is -6.20 eV per atom. Its total magnetization is 0.00 Bohr magnetons per cell.


Computed, not measured: a relaxed structure of YGaSb2Te at the PBE level of DFT.

It has space group P4/mmm (No. 123), with a = 5.812 Å, b = 5.812 Å, c = 5.861 Å, α = 90.00°, β = 90.00° and γ = 90.00°. The inequivalent atoms are Y at (0.000, 0.000, 0.000), Ga at (0.500, 0.500, 0.500), Sb at (0.000, 0.500, 0.000) and Te at (0.000, 0.000, 0.500).

The calculation puts the density of states at the Fermi level at 5.0 states/eV per cell. The value obtained for the total DFT energy (no corrections) is -4.03 eV per atom. Its total magnetization is 0.00 Bohr magnetons per cell.


Computed, not measured: a relaxed structure of YGaSbTe2 at the PBE level of DFT.

It has space group P4/mmm (No. 123), with a = 5.427 Å, b = 5.427 Å, c = 5.174 Å, α = 90.00°, β = 90.00° and γ = 90.00°. The inequivalent atoms are Y at (0.000, 0.000, 0.000), Ga at (0.500, 0.500, 0.500), Sb at (0.500, 0.500, 0.000) and Te at (0.000, 0.500, 0.500).

The calculation puts the density of states at the Fermi level at 3.8 states/eV per cell. The value obtained for the total DFT energy (no corrections) is -4.02 eV per atom. Its total magnetization is 0.00 Bohr magnetons per cell.


Computed, not measured: a relaxed structure of ZnGa2SbTe2 at the PBE level of DFT.

It has space group Cmc2_1 (No. 36), with a = 13.047 Å, b = 7.645 Å, c = 7.571 Å, α = 90.00°, β = 90.00° and γ = 90.00°. The inequivalent atoms are Zn at (0.000, 0.166, 0.000), Ga at (0.157, 0.322, 0.496), Sb at (0.000, 0.147, 0.349) and Te at (0.167, 0.338, 0.868).

The calculation puts the density of states at the Fermi level at 13.6 states/eV per cell. The value obtained for the total DFT energy (no corrections) is -3.12 eV per atom. Its total magnetization is 0.00 Bohr magnetons per cell.


Computed, not measured: a relaxed structure of ZnGaSbTe2 at the PBE level of DFT.

It has space group P4/mmm (No. 123), with a = 5.489 Å, b = 5.489 Å, c = 5.099 Å, α = 90.00°, β = 90.00° and γ = 90.00°. The inequivalent atoms are Zn at (0.000, 0.000, 0.000), Ga at (0.500, 0.500, 0.500), Sb at (0.000, 0.000, 0.500) and Te at (0.000, 0.500, 0.000).

The calculation puts the density of states at the Fermi level at 3.0 states/eV per cell. The value obtained for the total DFT energy (no corrections) is -2.58 eV per atom. Its total magnetization is 0.00 Bohr magnetons per cell.


Ordered energy relative to the elements, uncorrected results: -0.0501, -1.2254, 0.1501, -0.0435, -0.1612, 0.3568; unit eV/atom.